# K2Na5TlPb2

A relaxed K2Na5TlPb2 crystal (GGA-PBE, the Alexandria database).

Values from the calculation:
Calculated volume = 36.37 A^3/atom
Symmetry = P4/mbm (127)
Formation enthalpy at 0 K = -7.96 kJ per mole of atoms
M_tot = 0.0 μB per formula unit

Geometry as CIF:
```
data_K2Na5TlPb2
_chemical_formula_sum 'K4 Na10 Tl2 Pb4'
_cell_length_a 13.3288
_cell_length_b 13.3288
_cell_length_c 4.0947
_cell_angle_alpha 90.00
_cell_angle_beta 90.00
_cell_angle_gamma 90.00
_symmetry_space_group_name_H-M 'P 1'
_symmetry_Int_Tables_number 1
_symmetry_space_group_name_Hall 'P 1'
loop_
_atom_site_label
_atom_site_type_symbol
_atom_site_fract_x
_atom_site_fract_y
_atom_site_fract_z
_atom_site_occupancy
K1 K 0.1685 0.3315 0.0000 1
K2 K 0.3315 0.8315 0.0000 1
K3 K 0.6685 0.1685 0.0000 1
K4 K 0.8315 0.6685 0.0000 1
Na1 Na 0.0000 0.5000 0.5000 1
Na2 Na 0.0633 0.8083 0.5000 1
Na3 Na 0.1917 0.0633 0.5000 1
Na4 Na 0.3083 0.5633 0.5000 1
Na5 Na 0.4367 0.3083 0.5000 1
Na6 Na 0.5000 0.0000 0.5000 1
Na7 Na 0.5633 0.6917 0.5000 1
Na8 Na 0.6917 0.4367 0.5000 1
Na9 Na 0.8083 0.9367 0.5000 1
Na10 Na 0.9367 0.1917 0.5000 1
Tl1 Tl 0.0000 0.0000 0.0000 1
Tl2 Tl 0.5000 0.5000 0.0000 1
Pb1 Pb 0.1345 0.6345 0.0000 1
Pb2 Pb 0.3655 0.1345 0.0000 1
Pb3 Pb 0.6345 0.8655 0.0000 1
Pb4 Pb 0.8655 0.3655 0.0000 1
```